The following is a PBE-GGA calculation of a relaxed structure of LuCdSnAu, from Alexandria.

Output
**E_tot**: -14.4 eV per cell

Unit cell a=5.0308 b=5.0308 c=5.0308 alpha=60.00 beta=60.00 gamma=60.00
Atoms (fractional coordinates):
Lu 0.2500 0.2500 0.2500
Au 0.5000 0.5000 0.5000
Sn 0.0000 0.0000 0.0000
Cd 0.7500 0.7500 0.7500

The following is a PBE-GGA calculation of a relaxed structure of SrLuCdAu, from Alexandria.

Output
**E_tot**: -12.2 eV per cell

Unit cell a=5.3030 b=5.3030 c=5.3030 alpha=60.00 beta=60.00 gamma=60.00
Atoms (fractional coordinates):
Sr 0.5000 0.5000 0.5000
Lu 0.0000 0.0000 0.0000
Au 0.2500 0.2500 0.2500
Cd 0.7500 0.7500 0.7500

The following is a PBE-GGA calculation of a relaxed structure of LuTlCdAu, from Alexandria.

Output
**E_tot**: -12.5 eV per cell

Unit cell a=5.0270 b=5.0270 c=5.0270 alpha=60.00 beta=60.00 gamma=60.00
Atoms (fractional coordinates):
Tl 0.5000 0.5000 0.5000
Lu 0.2500 0.2500 0.2500
Au 0.0000 0.0000 0.0000
Cd 0.7500 0.7500 0.7500

The following is a PBE-GGA calculation of a relaxed structure of LuZnCdAu, from Alexandria.

Output
**E_tot**: -11.9 eV per cell

Unit cell a=4.8164 b=4.8164 c=4.8164 alpha=60.00 beta=60.00 gamma=60.00
Atoms (fractional coordinates):
Zn 0.0000 0.0000 0.0000
Lu 0.2500 0.2500 0.2500
Au 0.5000 0.5000 0.5000
Cd 0.7500 0.7500 0.7500

The following is a PBE-GGA calculation of a relaxed structure of LuZrCdAu, from Alexandria.

Output
**E_tot**: -18.7 eV per cell

Unit cell a=4.9998 b=4.9998 c=4.9998 alpha=60.00 beta=60.00 gamma=60.00
Atoms (fractional coordinates):
Lu 0.0000 0.0000 0.0000
Au 0.2500 0.2500 0.2500
Zr 0.5000 0.5000 0.5000
Cd 0.7500 0.7500 0.7500

The following is a PBE-GGA calculation of a relaxed structure of MgCdAu4, from Alexandria.

Output
**E_tot**: -17.4 eV per cell

Unit cell a=3.5195 b=5.1339 c=7.1588 alpha=101.96 beta=75.77 gamma=69.95
Atoms (fractional coordinates):
Mg 0.5000 0.5000 0.5000
Cd 0.0000 0.0000 0.0000
Au 0.8424 0.4927 0.8226
Au 0.3206 0.0180 0.3408
Au 0.1576 0.5073 0.1774
Au 0.6794 0.9820 0.6592

The following is a PBE-GGA calculation of a relaxed structure of MgCd2Au, from Alexandria.

Output
**E_tot**: -14.0 eV per cell

Unit cell a=8.2628 b=8.2628 c=6.4626 alpha=50.26 beta=50.26 gamma=90.00
Atoms (fractional coordinates):
Mg 0.5000 0.5000 0.0000
Mg 0.2500 0.7500 0.5000
Au 0.0000 0.0000 0.0000
Au 0.7500 0.2500 0.5000
Cd 0.6614 0.1250 0.2500
Cd 0.0886 0.6250 0.2500
Cd 0.3750 0.3386 0.7500
Cd 0.8750 0.9114 0.7500

The following is a PBE-GGA calculation of a relaxed structure of Mg2CdAu2, from Alexandria.

Output
**E_tot**: -11.7 eV per cell

Unit cell a=3.8973 b=3.8973 c=7.6549 alpha=75.25 beta=75.25 gamma=90.00
Atoms (fractional coordinates):
Mg 0.3921 0.3921 0.2159
Mg 0.6079 0.6079 0.7841
Au 0.7500 0.2500 0.5000
Au 0.2500 0.7500 0.5000
Cd 0.0000 0.0000 0.0000

The following is a PBE-GGA calculation of a relaxed structure of MgCd2Au, from Alexandria.

Output
**E_tot**: -7.5 eV per cell

Unit cell a=4.8219 b=4.8219 c=4.8219 alpha=60.00 beta=60.00 gamma=60.00
Atoms (fractional coordinates):
Mg 0.7500 0.7500 0.7500
Au 0.5000 0.5000 0.5000
Cd 0.0000 0.0000 0.0000
Cd 0.2500 0.2500 0.2500

The following is a PBE-GGA calculation of a relaxed structure of MgCd3Au3, from Alexandria.

Output
**E_tot**: -62.9 eV per cell

Unit cell a=8.3107 b=8.3107 c=8.3107 alpha=90.00 beta=90.00 gamma=90.00
Atoms (fractional coordinates):
Mg 0.1238 0.6238 0.8762
Mg 0.8762 0.1238 0.6238
Mg 0.3762 0.3762 0.3762
Mg 0.6238 0.8762 0.1238
Cd 0.7998 0.2998 0.2002
Cd 0.9389 0.9389 0.9389
Cd 0.8507 0.6493 0.3507
Cd 0.2002 0.7998 0.2998
Cd 0.1493 0.1493 0.1493
Cd 0.3507 0.8507 0.6493
Cd 0.0611 0.4389 0.5611
Cd 0.2998 0.2002 0.7998
Cd 0.6493 0.3507 0.8507
Cd 0.7002 0.7002 0.7002
Cd 0.5611 0.0611 0.4389
Cd 0.4389 0.5611 0.0611
Au 0.8097 0.6131 0.0140
Au 0.8869 0.9860 0.3097
Au 0.0140 0.8097 0.6131
Au 0.1131 0.4860 0.1903
Au 0.1903 0.1131 0.4860
Au 0.3097 0.8869 0.9860
Au 0.9860 0.3097 0.8869
Au 0.3869 0.5140 0.6903
Au 0.4860 0.1903 0.1131
Au 0.6131 0.0140 0.8097
Au 0.6903 0.3869 0.5140
Au 0.5140 0.6903 0.3869

The following is a PBE-GGA calculation of a relaxed structure of Mg2CdAu, from Alexandria.

Output
**E_tot**: -8.6 eV per cell

Unit cell a=5.7241 b=5.7241 c=5.7241 alpha=144.97 beta=131.38 gamma=61.32
Atoms (fractional coordinates):
Mg 0.0023 0.0023 0.0000
Mg 0.7257 0.2257 0.5000
Au 0.5047 0.5047 0.0000
Cd 0.2673 0.7673 0.5000

The following is a PBE-GGA calculation of a relaxed structure of MgCdAu3, from Alexandria.

Output
**E_tot**: -54.5 eV per cell

Unit cell a=6.0726 b=9.2277 c=9.2277 alpha=52.71 beta=90.00 gamma=90.00
Atoms (fractional coordinates):
Mg 0.2500 0.0059 0.9941
Mg 0.7500 0.9941 0.0059
Mg 0.2500 0.6008 0.3992
Mg 0.7500 0.3992 0.6008
Cd 0.7500 0.4949 0.0081
Cd 0.7500 0.9919 0.5051
Cd 0.2500 0.5051 0.9919
Cd 0.2500 0.0081 0.4949
Au 0.5011 0.2791 0.9341
Au 0.9989 0.0659 0.7209
Au 0.4989 0.7209 0.0659
Au 0.0011 0.9341 0.2791
Au 0.0011 0.7209 0.0659
Au 0.4989 0.9341 0.2791
Au 0.9989 0.2791 0.9341
Au 0.5011 0.0659 0.7209
Au 0.5000 0.3594 0.3594
Au 0.0000 0.6406 0.6406
Au 0.5000 0.6406 0.6406
Au 0.0000 0.3594 0.3594

no.,magnetic moment (Bohr magnetons per cell),calculated density (g cm⁻³),volume (Å³ per atom)
1,0.0,11.123,22.5
2,0.0,9.007,26.4
3,0.0,12.732,22.5
4,0.0,11.555,19.8
5,0.8,10.815,22.1
6,0.0,13.758,18.6
7,0.0,7.857,23.6
8,0.0,8.495,21.7
9,0.0,9.344,19.8
10,0.0,11.021,20.5
11,0.0,7.436,20.0
12,0.0,11.748,20.6